(1)
The following is a PBE calculation of a geometry-optimized ScPaTaTi structure, from the Alexandria database.

a b c (Å): 4.875 4.875 4.875
angles (deg): 60.00 60.00 60.00
Fractional positions:
Sc 0.000 0.000 0.000
Pa 0.500 0.500 0.500
Ta 0.250 0.250 0.250
Ti 0.750 0.750 0.750

Values from the calculation:
crystal system: cubic
symmetry: F-43m, No. 216

***

(2)
The following is a PBE calculation of a geometry-optimized ZrScPaTa structure, from the Alexandria database.

a b c (Å): 5.001 5.001 5.001
angles (deg): 60.00 60.00 60.00
Fractional positions:
Zr 0.000 0.000 0.000
Sc 0.250 0.250 0.250
Pa 0.500 0.500 0.500
Ta 0.750 0.750 0.750

Values from the calculation:
crystal system: cubic
symmetry: F-43m, No. 216

***

(3)
The following is a PBE calculation of a geometry-optimized Tb2ScPa structure, from the Alexandria database.

a b c (Å): 12.084 12.084 12.084
angles (deg): 15.60 15.60 15.60
Fractional positions:
Tb 0.089 0.089 0.089
Tb 0.911 0.911 0.911
Sc 0.500 0.500 0.500
Pa 0.000 0.000 0.000

Values from the calculation:
crystal system: trigonal
offset from the most stable computed form: 140 meV per atom
symmetry: R-3m, No. 166

***

(4)
The following is a PBE calculation of a geometry-optimized TbSc2Pa structure, from the Alexandria database.

a b c (Å): 11.164 11.164 11.164
angles (deg): 16.96 16.96 16.96
Fractional positions:
Tb 0.000 0.000 0.000
Sc 0.419 0.419 0.419
Sc 0.580 0.580 0.580
Pa 0.166 0.166 0.166

Values from the calculation:
crystal system: trigonal
offset from the most stable computed form: 0 meV per atom
symmetry: R3m, No. 160

***

| no. | energy of formation (eV/atom) |
| --- | --- |
| 1 | 0.161 |
| 2 | 0.186 |
| 3 | 0.265 |
| 4 | 0.074 |